Cs2FePdSe GGA-PBE optimized geometry; uncorrected formation energy = 2.1 eV/f.u.; magnetic moment = 0.8777 μB/atom; total DFT energy (no corrections) = -3.344 eV/atom; space group = No. 123
1.0
6.768 0.000 0.000
0.000 6.768 0.000
0.000 0.000 4.642
Cs Fe Pd Se
2 1 1 1
Direct
0.000 0.500 0.000
0.500 0.000 0.000
0.000 0.000 0.000
0.000 0.000 0.500
0.500 0.500 0.500